(1)
The following is a DFT calculation (PBE-GGA) of TiNi2Sn after structural relaxation.

Values from the calculation:
The value obtained for the density of states at the Fermi level is 4.1 states/eV/f.u. As for the volume: 14.67 Å³ per atom. The formation enthalpy at 0 K is -106.7 kJ/mol of formula units. The space-group type is P4/mmm, No. 123. Its crystal system is tetragonal. For the calculated total energy, the calculation gives -6.14 eV per atom.

POSCAR file:
```
TiNi2Sn
1.0
4.171 0.000 0.000
0.000 4.171 0.000
0.000 0.000 3.372
Ti Ni Sn
1 2 1
Cartesian
0.000 0.000 0.000
0.000 2.086 1.686
2.086 0.000 1.686
2.086 2.086 0.000
```

***

(2)
The following is a DFT calculation (PBE-GGA) of Al2IrW after structural relaxation.

Values from the calculation:
The value obtained for the density of states at the Fermi level is 3.1 states/eV/f.u. As for the volume: 15.11 Å³ per atom. The excess energy over the best structure of this formula in the dataset comes out at 0.124 eV per atom. The formation enthalpy at 0 K is -100.3 kJ/mol of formula units. The space-group type is R-3m, No. 166. Its crystal system is trigonal. For the calculated total energy, the calculation gives -7.58 eV per atom.

POSCAR file:
```
Al2IrW
1.0
2.859 0.000 0.000
-1.430 2.476 0.000
0.000 0.000 25.615
Al Ir W
6 3 3
Cartesian
0.000 0.000 6.274
0.000 0.000 19.341
0.000 1.651 10.803
0.000 1.651 23.350
1.430 0.825 2.265
1.430 0.825 14.812
0.000 0.000 12.808
0.000 1.651 4.269
1.430 0.825 21.346
0.000 0.000 0.000
0.000 1.651 17.077
1.430 0.825 8.538
```

***

(3)
The following is a DFT calculation (PBE-GGA) of Pm4Si3Pb after structural relaxation.

Values from the calculation:
The value obtained for the density of states at the Fermi level is 6.2 states/eV/f.u. As for the volume: 25.52 Å³ per atom. The space-group type is Pmm2, No. 25. Its crystal system is orthorhombic. For the calculated total energy, the calculation gives -5.53 eV per atom.

POSCAR file:
```
Pm4Si3Pb
1.0
4.062 0.000 0.000
0.000 4.507 0.000
0.000 0.000 11.153
Pm Si Pb
4 3 1
Cartesian
0.000 0.000 0.000
0.000 2.253 5.364
2.031 0.000 7.832
2.031 2.253 2.417
0.000 0.000 3.108
2.031 0.000 4.731
2.031 2.253 10.579
0.000 2.253 8.630
```

***

(4)
The following is a DFT calculation (PBE-GGA) of Ho2Sn2Ru3 after structural relaxation.

Values from the calculation:
The value obtained for the density of states at the Fermi level is 6.7 states/eV/f.u. As for the volume: 20.09 Å³ per atom. The formation enthalpy at 0 K is -116.4 kJ/mol of formula units. The space-group type is I2_13, No. 199. Its crystal system is cubic. For the calculated total energy, the calculation gives -6.60 eV per atom.

POSCAR file:
```
Ho2Sn2Ru3
1.0
-4.127 4.127 4.127
4.127 -4.127 4.127
4.127 4.127 -4.127
Ho Sn Ru
4 4 6
Cartesian
4.668 -0.541 0.541
0.541 4.668 -0.541
-0.541 0.541 4.668
3.586 3.586 3.586
2.330 1.797 -1.797
1.797 -1.797 2.330
1.797 1.797 1.797
-1.797 2.330 1.797
4.127 -2.064 3.794
3.794 4.127 -2.064
4.127 2.064 0.333
2.064 0.333 4.127
0.333 4.127 2.064
-2.064 3.794 4.127
```